Dy8Y4Ho after structural relaxation. Source: Alexandria via LeMat-Bulk, functional PBE.

abc: 10.013 10.013 10.013
angles: 42.74 42.74 42.74
Atoms (fractional coordinates):
Dy: 0.196 0.750 0.750
Dy: 0.216 0.216 0.216
Dy: 0.250 0.250 0.804
Dy: 0.250 0.804 0.250
Dy: 0.750 0.196 0.750
Dy: 0.750 0.750 0.196
Dy: 0.784 0.784 0.784
Dy: 0.804 0.250 0.250
Y: 0.000 0.000 0.000
Y: 0.000 0.500 0.500
Y: 0.500 0.000 0.500
Y: 0.500 0.500 0.000
Ho: 0.500 0.500 0.500

* E_tot: -0.3644 Ry/atom
* formation enthalpy at 0 K: 0.215 eV per atom
* Fermi-level density of states: 1.345 states/eV per atom
* total magnetic moment: 0.0 μB per formula unit